First-principles (meta-GGA SCAN) data for CuSiBr at its PBEsol-relaxed geometry, as listed in Alexandria.

Output
Space group: F-43m, No. 216
Distance to the lowest polymorph of the same formula: 115.6 kJ per mole of atoms
Density of states at the Fermi level: 1.117 states/eV/f.u.

a = 4.5063 Å, b = 4.5063 Å, c = 4.5063 Å
α = 60.00°, β = 60.00°, γ = 60.00°
Closest atoms and distances in Å follow each position.
Positions (direct):
1 Br 0.7500 0.7500 0.7500  4 Cu 2.76, 4 Si 2.76
2 Cu 0.0000 0.0000 0.0000  4 Br 2.76
3 Si 0.5000 0.5000 0.5000  4 Br 2.76


First-principles (meta-GGA SCAN) data for CuSi2Br at its PBEsol-relaxed geometry, as listed in Alexandria.

Output
Space group: Cmmm, No. 65
Distance to the lowest polymorph of the same formula: 0.0 kJ per mole of atoms
Density of states at the Fermi level: 2.265 states/eV/f.u.

a = 2.9312 Å, b = 5.3001 Å, c = 5.3001 Å
α = 124.03°, β = 90.00°, γ = 90.00°
Closest atoms and distances in Å follow each position.
Positions (direct):
1 Br 0.5000 0.0000 0.0000  2 Cu 2.49
2 Cu 0.5000 0.5000 0.5000  2 Br 2.49
3 Si 0.0000 0.5000 0.0000  2 Si 2.49
4 Si 0.0000 0.0000 0.5000  2 Si 2.49


First-principles (meta-GGA SCAN) data for CuSiBr at its PBEsol-relaxed geometry, as listed in Alexandria.

Output
Space group: I4mm, No. 107
Distance to the lowest polymorph of the same formula: 0.0 kJ per mole of atoms
Density of states at the Fermi level: 0.801 states/eV/f.u.

a = 3.3164 Å, b = 3.3164 Å, c = 5.8918 Å
α = 106.35°, β = 106.35°, γ = 90.00°
Closest atoms and distances in Å follow each position.
Positions (direct):
1 Br 0.0073 0.0073 0.0145  1 Si 2.30, 1 Cu 2.54
2 Cu 0.7727 0.7727 0.5454  4 Si 2.41, 1 Br 2.54
3 Si 0.2200 0.2200 0.4400  1 Br 2.30, 4 Cu 2.41


First-principles (meta-GGA SCAN) data for CuSi2Br at its PBEsol-relaxed geometry, as listed in Alexandria.

Output
Space group: Fm-3m, No. 225
Distance to the lowest polymorph of the same formula: 11.8 kJ per mole of atoms
Density of states at the Fermi level: 1.968 states/eV/f.u.

a = 4.5387 Å, b = 4.5387 Å, c = 4.5387 Å
α = 60.00°, β = 60.00°, γ = 60.00°
Closest atoms and distances in Å follow each position.
Positions (direct):
1 Br 0.0000 0.0000 0.0000  8 Si 2.78
2 Cu 0.5000 0.5000 0.5000  8 Si 2.78
3 Si 0.2500 0.2500 0.2500  4 Br 2.78, 4 Cu 2.78
4 Si 0.7500 0.7500 0.7500  4 Br 2.78, 4 Cu 2.78


First-principles (meta-GGA SCAN) data for SrCuBr2 at its PBEsol-relaxed geometry, as listed in Alexandria.

Output
Space group: C2/m, No. 12
Distance to the lowest polymorph of the same formula: 13.5 kJ per mole of atoms
Density of states at the Fermi level: 1.052 states/eV/f.u.

a = 3.9242 Å, b = 4.8636 Å, c = 4.8636 Å
α = 90.01°, β = 90.13°, γ = 90.13°
Closest atoms and distances in Å follow each position.
Positions (direct):
1 Br 0.0000 0.0000 0.5000  4 Sr 3.12-3.13, 4 Cu 3.12-3.13, 4 Br 3.44
2 Br 0.0000 0.5000 0.0000  4 Cu 3.12-3.13, 4 Sr 3.12-3.13, 4 Br 3.44
3 Cu 0.5000 0.0000 0.0000  8 Br 3.12-3.13, 4 Sr 3.44
4 Sr 0.5000 0.5000 0.5000  8 Br 3.12-3.13, 4 Cu 3.44


First-principles (meta-GGA SCAN) data for SrCuBr2 at its PBEsol-relaxed geometry, as listed in Alexandria.

Output
Space group: Pm, No. 6
Distance to the lowest polymorph of the same formula: 0.0 kJ per mole of atoms
Density of states at the Fermi level: 1.590 states/eV/f.u.

a = 4.1318 Å, b = 4.3350 Å, c = 5.9446 Å
α = 110.63°, β = 90.00°, γ = 90.00°
Closest atoms and distances in Å follow each position.
Positions (direct):
1 Br 0.0000 0.9962 0.9469  1 Cu 2.51
2 Br 0.5000 0.7190 0.3840  2 Cu 2.56
3 Cu 0.0000 0.3688 0.3807  3 Br 2.51-2.56
4 Sr 0.5000 0.4160 0.7884  7 Br 3.11-3.31, 2 Cu 3.14


First-principles (meta-GGA SCAN) data for TaCu2Br at its PBEsol-relaxed geometry, as listed in Alexandria.

Output
Space group: I4/mmm, No. 139
Distance to the lowest polymorph of the same formula: 49.5 kJ per mole of atoms
Density of states at the Fermi level: 2.091 states/eV/f.u.

a = 3.6731 Å, b = 3.6731 Å, c = 5.1985 Å
α = 110.69°, β = 110.69°, γ = 90.00°
Closest atoms and distances in Å follow each position.
Positions (direct):
1 Br 0.0000 0.0000 0.0000  4 Ta 2.60, 8 Cu 2.91
2 Cu 0.7500 0.2500 0.5000  4 Cu 2.60, 4 Ta 2.91, 4 Br 2.91
3 Cu 0.2500 0.7500 0.5000  4 Cu 2.60, 4 Ta 2.91, 4 Br 2.91
4 Ta 0.5000 0.5000 0.0000  4 Br 2.60, 8 Cu 2.91


First-principles (meta-GGA SCAN) data for TaCuBr at its PBEsol-relaxed geometry, as listed in Alexandria.

Output
Space group: P3m1, No. 156
Distance to the lowest polymorph of the same formula: 0.0 kJ per mole of atoms
Density of states at the Fermi level: 2.498 states/eV/f.u.

a = 3.0977 Å, b = 3.0977 Å, c = 6.4448 Å
α = 90.00°, β = 90.00°, γ = 120.00°
Closest atoms and distances in Å follow each position.
Positions (direct):
1 Br 0.0000 0.0000 0.0311  3 Ta 2.64
2 Cu 0.3333 0.6667 0.6357  3 Ta 2.65
3 Ta 0.6667 0.3333 0.3332  3 Br 2.64, 3 Cu 2.65


First-principles (meta-GGA SCAN) data for TaCu2Br at its PBEsol-relaxed geometry, as listed in Alexandria.

Output
Space group: C2/m, No. 12
Distance to the lowest polymorph of the same formula: 25.3 kJ per mole of atoms
Density of states at the Fermi level: 1.929 states/eV/f.u.

a = 2.9473 Å, b = 4.4641 Å, c = 5.3433 Å
α = 114.80°, β = 106.01°, γ = 90.00°
Closest atoms and distances in Å follow each position.
Positions (direct):
1 Br 0.5000 0.0000 0.0000  4 Ta 2.67, 4 Cu 2.74, 2 Br 2.95
2 Cu 0.2497 0.2492 0.4993  6 Cu 2.67-2.95, 2 Br 2.74, 2 Ta 2.74
3 Cu 0.7503 0.7508 0.5007  6 Cu 2.67-2.95, 2 Br 2.74, 2 Ta 2.74
4 Ta 0.0000 0.5000 0.0000  4 Br 2.67, 4 Cu 2.74, 2 Ta 2.95


First-principles (meta-GGA SCAN) data for TaCu2Br at its PBEsol-relaxed geometry, as listed in Alexandria.

Output
Space group: Pmmm, No. 47
Distance to the lowest polymorph of the same formula: 33.3 kJ per mole of atoms
Density of states at the Fermi level: 2.726 states/eV/f.u.

a = 2.9666 Å, b = 4.4095 Å, c = 4.6519 Å
α = 90.00°, β = 90.00°, γ = 90.00°
Closest atoms and distances in Å follow each position.
Positions (direct):
1 Br 0.0000 0.5000 0.5000  4 Ta 2.66, 4 Cu 2.76, 2 Br 2.97
2 Cu 0.0000 0.0000 0.0000  6 Cu 2.66-2.97, 4 Ta 2.76
3 Cu 0.5000 0.5000 0.0000  6 Cu 2.66-2.97, 4 Br 2.76
4 Ta 0.5000 0.0000 0.5000  4 Br 2.66, 4 Cu 2.76, 2 Ta 2.97


First-principles (meta-GGA SCAN) data for TaCu2Br at its PBEsol-relaxed geometry, as listed in Alexandria.

Output
Space group: R-3m, No. 166
Distance to the lowest polymorph of the same formula: 0.0 kJ per mole of atoms
Density of states at the Fermi level: 1.618 states/eV/f.u.

a = 3.0187 Å, b = 3.0187 Å, c = 8.3807 Å
α = 79.62°, β = 79.62°, γ = 60.00°
Closest atoms and distances in Å follow each position.
Positions (direct):
1 Br 0.0000 0.0000 0.0000  6 Cu 2.68
2 Cu 0.2506 0.2506 0.2481  3 Br 2.68, 3 Ta 2.70
3 Cu 0.7494 0.7494 0.7519  3 Br 2.68, 3 Ta 2.70
4 Ta 0.5000 0.5000 0.5000  6 Cu 2.70, 6 Ta 3.02


First-principles (meta-GGA SCAN) data for TaCuBr at its PBEsol-relaxed geometry, as listed in Alexandria.

Output
Space group: P-6m2, No. 187
Distance to the lowest polymorph of the same formula: 43.4 kJ per mole of atoms
Density of states at the Fermi level: 2.146 states/eV/f.u.

a = 2.9914 Å, b = 4.4016 Å, c = 4.4016 Å
α = 120.00°, β = 90.00°, γ = 90.00°
Closest atoms and distances in Å follow each position.
Positions (direct):
1 Br 0.5000 0.0000 0.0000  3 Ta 2.54
2 Cu 0.0000 0.3333 0.6667  6 Ta 2.95, 6 Br 2.95, 2 Cu 2.99
3 Ta 0.5000 0.6667 0.3333  3 Br 2.54


First-principles (meta-GGA SCAN) data for CuTcBr3 at its PBEsol-relaxed geometry, as listed in Alexandria.

Output
Space group: Pm-3m, No. 221
Density of states at the Fermi level: 2.885 states/eV/f.u.

a = 4.9064 Å, b = 4.9064 Å, c = 4.9064 Å
α = 90.00°, β = 90.00°, γ = 90.00°
Closest atoms and distances in Å follow each position.
Positions (direct):
1 Cu 0.0000 0.0000 0.0000  6 Br 2.45
2 Tc 0.5000 0.5000 0.5000  12 Br 3.47
3 Br 0.0000 0.5000 0.0000  2 Cu 2.45
4 Br 0.0000 0.0000 0.5000  2 Cu 2.45
5 Br 0.5000 0.0000 0.0000  2 Cu 2.45


First-principles (meta-GGA SCAN) data for CuTeBr2 at its PBEsol-relaxed geometry, as listed in Alexandria.

Output
Space group: P4/mmm, No. 123
Density of states at the Fermi level: 1.743 states/eV/f.u.

a = 3.3770 Å, b = 5.1691 Å, c = 5.1691 Å
α = 89.95°, β = 90.00°, γ = 90.00°
Closest atoms and distances in Å follow each position.
Positions (direct):
1 Br 0.0000 0.5000 0.0000  4 Cu 3.09, 4 Te 3.09, 2 Br 3.38
2 Br 0.0000 0.0000 0.5000  4 Te 3.09, 4 Cu 3.09, 2 Br 3.38
3 Cu 0.5000 0.0000 0.0000  8 Br 3.09, 2 Cu 3.38
4 Te 0.5000 0.5000 0.5000  8 Br 3.09, 2 Te 3.38


First-principles (meta-GGA SCAN) data for Cu2TeBr at its PBEsol-relaxed geometry, as listed in Alexandria.

Output
Space group: Pmm2, No. 25
Density of states at the Fermi level: 1.037 states/eV/f.u.

a = 3.5829 Å, b = 3.8086 Å, c = 6.5036 Å
α = 90.00°, β = 90.00°, γ = 90.00°
Closest atoms and distances in Å follow each position.
Positions (direct):
1 Te 0.0000 0.0000 0.6049  4 Cu 2.55-2.57
2 Br 0.5000 0.5000 0.1429  4 Cu 2.53-2.55
3 Cu 0.5000 0.0000 0.8876  2 Br 2.53, 2 Te 2.57, 4 Cu 2.62
4 Cu 0.0000 0.5000 0.8646  2 Te 2.55, 2 Br 2.55, 4 Cu 2.62


ΔE_f (raw), record by record: 1283, 916, 85, 1039, -914, -1054, 910, 271, 658, 742, 396, 722, 431, 507, -193 meV/atom
DFT total energy, record by record: -13.61, -12.76, -14.81, -12.63, -20.01, -20.15, -28.20, -33.48, -28.45, -28.37, -28.71, -33.03, -21.30, -22.34, -21.97 eV/atom